Computed, not measured: crystalline LiCrOs2 at its relaxed geometry at the PBE level of DFT.

```
LiCrOs2
1.0
1.3377 0.7723 8.8349
-1.3377 0.7723 8.8349
0.0000 -1.5446 8.8349
Li Cr Os
1 1 2
Direct
0.0000 0.0000 0.0000
0.5000 0.5000 0.5000
0.2448 0.2448 0.2448
0.7552 0.7552 0.7552
```

Summary:
theoretical density	13.323	g cm⁻³
ΔE to the lowest computed polymorph	0.000	eV per atom
total magnetization	0.00	μB per atom
formation enthalpy at 0 K	107.8	meV per atom


Computed, not measured: crystalline PrNdCCl at its relaxed geometry at the PBE level of DFT.

```
PrNdCCl
1.0
1.8869 1.0894 7.2962
-1.8869 1.0894 7.2962
0.0000 -2.1788 7.2962
Pr Nd C Cl
1 1 1 1
Direct
0.0000 0.0000 0.0000
0.7940 0.7940 0.7940
0.3984 0.3984 0.3984
0.2278 0.2278 0.2278
```

Summary:
theoretical density	6.137	g cm⁻³
total magnetization	0.00	μB per atom
raw formation energy	-0.994	eV per atom


Look up the total magnetization of the first one.
0.00 μB per atom


Copy entry 1 word for word.
Computed, not measured: crystalline LiCrOs2 at its relaxed geometry at the PBE level of DFT.

```
LiCrOs2
1.0
1.3377 0.7723 8.8349
-1.3377 0.7723 8.8349
0.0000 -1.5446 8.8349
Li Cr Os
1 1 2
Direct
0.0000 0.0000 0.0000
0.5000 0.5000 0.5000
0.2448 0.2448 0.2448
0.7552 0.7552 0.7552
```

Summary:
theoretical density	13.323	g cm⁻³
ΔE to the lowest computed polymorph	0.000	eV per atom
total magnetization	0.00	μB per atom
formation enthalpy at 0 K	107.8	meV per atom